(1)
First-principles (GGA-PBE) data for a geometry-optimized WAu2Cl structure, as listed in the Alexandria database.

Cell and atoms, written as POSCAR:
```
WAu2Cl
1.0
-1.4423 2.6290 0.0900
-1.1369 -0.7137 2.6285
6.5470 3.4619 3.7945
W Au Cl
1 2 1
Cartesian
3.3364 3.3757 4.8622
6.1273 3.2120 4.3682
3.1247 1.6240 2.6378
0.6314 2.0016 1.6507
```

Summary:
* energy relative to the elements, uncorrected: 0.322 eV/atom
* distance to the lowest polymorph of the same formula: 177 meV/atom

(2)
First-principles (GGA-PBE) data for a geometry-optimized YWAu2Cl structure, as listed in the Alexandria database.

Cell and atoms, written as POSCAR:
```
YWAu2Cl
1.0
-3.3604 -0.7447 -3.6022
4.1374 -1.4468 -3.5606
-0.4534 -4.7580 1.4066
Y Au W Cl
1 2 1 1
Cartesian
2.0687 -0.7234 -1.7803
-0.2267 -2.3790 0.7033
-1.6802 -0.3723 -1.8011
0.0000 0.0000 0.0000
0.1618 -3.4748 -2.8781
```

Summary:
* energy relative to the elements, uncorrected: 0.562 eV/atom

(3)
First-principles (GGA-PBE) data for a geometry-optimized Y2AuCl structure, as listed in the Alexandria database.

Cell and atoms, written as POSCAR:
```
Y2AuCl
1.0
-4.5626 -2.0414 1.9170
0.2853 -4.4998 -2.8861
3.0828 2.1611 3.8060
Y Cl Au
2 1 1
Cartesian
-0.0611 -0.0934 -0.0138
-2.0776 -3.1772 -0.4707
0.6147 -2.8046 0.2176
-1.8092 -1.5754 2.6192
```

Summary:
* energy relative to the elements, uncorrected: -0.877 eV/atom
* distance to the lowest polymorph of the same formula: 191 meV/atom

(4)
First-principles (GGA-PBE) data for a geometry-optimized Y2AuCl structure, as listed in the Alexandria database.

Cell and atoms, written as POSCAR:
```
Y2AuCl
1.0
-5.1866 -2.1683 -2.3346
2.3913 -5.5966 -0.1145
-3.7728 -5.0270 5.1151
Cl Au Y
2 2 4
Cartesian
-1.3896 -7.2530 1.8880
-1.3977 -3.8824 -1.2246
0.0000 0.0000 0.0000
-5.1785 -5.5389 0.7779
-0.1358 -5.0419 0.8979
-3.8600 -6.7240 2.9170
-3.8471 -3.2953 -0.1772
-5.2935 -10.5226 1.6942
```

Summary:
* energy relative to the elements, uncorrected: -0.704 eV/atom
* distance to the lowest polymorph of the same formula: 364 meV/atom